A relaxed Cs4Ca2Y crystal. Source: Alexandria, functional PBE.

Summary:
space-group type: No. 139
M_tot: 0.001 μB per cell
calculated volume: 602.98 Å³/cell
energy of formation: 0.721 eV per atom

```
Cs4Ca2Y
1.0
-0.9116 1.2226 -7.3070
-7.3769 -0.8300 0.7814
-5.1367 10.8042 -1.3641
Cs Y Ca
4 1 2
Direct
0.5000 0.0000 0.0000 Cs
0.8043 0.8043 0.3913 Cs
0.0000 0.5000 0.0000 Cs
0.1957 0.1957 0.6087 Cs
0.0000 0.0000 0.0000 Y
0.5900 0.5900 0.8199 Ca
0.4100 0.4100 0.1801 Ca
```